Compound: Dy3Zn8Pt
Source: the Alexandria database
Functional: GGA-PBE
Structure: optimized geometry

The calculation puts the final energy at -34.6 eV for the cell shown. The magnetization comes out at 0.000 μB/cell. As for the energy of formation: -0.382 eV per atom.

```
Dy3Zn8Pt
1.0
2.6401 1.5243 8.9072
-2.6401 1.5243 8.9072
0.0000 -3.0485 8.9072
Dy Zn Pt
3 8 1
Direct
0.0000 0.0000 0.0000
0.1270 0.1270 0.1270
0.5138 0.5138 0.5138
0.0640 0.5663 0.5663
0.0691 0.0691 0.5685
0.0691 0.5685 0.0691
0.3167 0.3167 0.3167
0.5663 0.0640 0.5663
0.5663 0.5663 0.0640
0.5685 0.0691 0.0691
0.8184 0.8184 0.8184
0.6239 0.6239 0.6239
```